1.
{
  "formula": "ZnTc2P",
  "functional": "GGA-PBE",
  "state": "relaxed",
  "de_polymorph_mev_per_atom": 306.9,
  "space_group": "No. 119",
  "energy_ev_per_atom": -6.699,
  "mass_density_kg_m3": 8827,
  "lattice": [[-1.8537, 1.8537, 4.0020], [1.8537, -1.8537, 4.0020], [1.8537, 1.8537, -4.0020]],
  "species": ["Zn", "P", "Tc", "Tc"],
  "fractional_positions": [[0.5000, 0.5000, 0.0000], [0.7500, 0.2500, 0.5000], [0.0000, 0.0000, 0.0000], [0.2500, 0.7500, 0.5000]]
}

2.
{
  "formula": "ZnTc2P",
  "functional": "GGA-PBE",
  "state": "relaxed",
  "de_polymorph_mev_per_atom": 51.0,
  "space_group": "No. 10",
  "energy_ev_per_atom": -6.955,
  "mass_density_kg_m3": 8582,
  "lattice": [[-1.9762, -0.5920, 2.8796], [-2.0850, -1.2255, -1.6829], [1.5821, -5.2967, -0.0032]],
  "species": ["Tc", "Tc", "Zn", "P"],
  "fractional_positions": [[0.0000, 0.1473, 0.7259], [0.0000, 0.8527, 0.2741], [0.5000, 0.5000, 0.0000], [0.5000, 0.5000, 0.5000]]
}